No. 1
Entry from Alexandria: Sr2Cu2P2H after structural relaxation (PBE-GGA).

Unit cell a=10.980 b=4.023 c=7.103 alpha=90.00 beta=125.42 gamma=90.00
Atoms (fractional coordinates):
Sr  0.052  0.000  0.308
Sr  0.448  0.500  0.692
Sr  0.552  0.500  0.308
Sr  0.948  0.000  0.692
Cu  0.192  0.500  0.085
Cu  0.308  0.000  0.915
Cu  0.692  0.000  0.085
Cu  0.808  0.500  0.915
P  0.191  0.500  0.740
P  0.309  0.000  0.260
P  0.691  0.000  0.740
P  0.809  0.500  0.260
H  0.000  0.500  0.000
H  0.500  0.000  0.000

Computed properties:
For the total magnetization, the calculation gives 0.000 μB per formula unit. Its crystal system is monoclinic.

=====

No. 2
Entry from Alexandria: SrCuPH after structural relaxation (PBE-GGA).

Unit cell a=4.076 b=4.076 c=4.569 alpha=90.00 beta=90.00 gamma=120.00
Atoms (fractional coordinates):
Sr  0.000  0.000  0.000
Cu  0.667  0.333  0.525
P  0.333  0.667  0.465
H  0.667  0.333  0.882

Computed properties:
For the total magnetization, the calculation gives 0.000 μB per formula unit. Its crystal system is trigonal.

=====

No. 3
Entry from Alexandria: TbCuPH after structural relaxation (PBE-GGA).

Unit cell a=3.789 b=3.789 c=7.782 alpha=90.00 beta=90.00 gamma=90.00
Atoms (fractional coordinates):
Tb  0.250  0.250  0.173
Tb  0.750  0.750  0.827
Cu  0.250  0.750  0.500
Cu  0.750  0.250  0.500
P  0.250  0.250  0.691
P  0.750  0.750  0.309
H  0.250  0.750  0.000
H  0.750  0.250  0.000

Computed properties:
For the total magnetization, the calculation gives 0.000 μB per formula unit. Its crystal system is tetragonal.

=====

No. 4
Entry from Alexandria: V2CuPH after structural relaxation (PBE-GGA).

Unit cell a=3.607 b=3.607 c=4.145 alpha=90.00 beta=90.00 gamma=90.00
Atoms (fractional coordinates):
V  0.000  0.500  0.000
V  0.500  0.000  0.000
Cu  0.000  0.000  0.500
P  0.500  0.500  0.500
H  0.500  0.500  0.000

Computed properties:
For the total magnetization, the calculation gives 0.000 μB per formula unit. Its crystal system is tetragonal.

=====

No. 5
Entry from Alexandria: CuPHW2 after structural relaxation (PBE-GGA).

Unit cell a=4.232 b=4.232 c=3.232 alpha=90.00 beta=90.00 gamma=90.00
Atoms (fractional coordinates):
Cu  0.000  0.000  0.000
P  0.500  0.500  0.000
H  0.000  0.000  0.500
W  0.000  0.500  0.500
W  0.500  0.000  0.500

Computed properties:
For the total magnetization, the calculation gives 0.000 μB per formula unit. Its crystal system is tetragonal.

=====

No. 6
Entry from Alexandria: YCuPH after structural relaxation (PBE-GGA).

Unit cell a=3.774 b=3.774 c=7.811 alpha=90.00 beta=90.00 gamma=90.00
Atoms (fractional coordinates):
Y  0.250  0.250  0.172
Y  0.750  0.750  0.828
Cu  0.250  0.750  0.500
Cu  0.750  0.250  0.500
P  0.250  0.250  0.692
P  0.750  0.750  0.308
H  0.250  0.750  0.000
H  0.750  0.250  0.000

Computed properties:
For the total magnetization, the calculation gives 0.000 μB per formula unit. Its crystal system is tetragonal.

=====

no.,energy (eV per cell)
1,-60.2
2,-16.7
3,-41.7
4,-30.7
5,-36.8
6,-45.3